{"formula": "ScTl2InF6", "functional": "PBE-GGA", "state": "relaxed", "cell": [[6.7168, 0.0053, 0.0015], [3.3630, 5.8113, 0.0035], [3.3622, 1.9423, 5.0242]], "species": ["In", "F", "F", "F", "F", "F", "F", "Sc", "Tl", "Tl"], "frac_coords": [[0.8163, 0.8162, 0.5514], [0.4455, 0.6143, 0.8098], [0.0176, 0.5052, 0.2897], [0.5030, 0.1880, 0.2915], [0.1292, 0.4443, 0.8116], [0.6148, 0.1269, 0.8133], [0.1867, 0.0180, 0.2932], [0.3162, 0.3162, 0.0515], [0.0728, 0.0725, 0.7815], [0.5595, 0.5598, 0.3217]], "formation_energy_uncorrected_kj_per_mol_atoms": -255.5, "dos_at_fermi_per_ev_cell": 0.00, "magmom_total_mub_per_fu": 0.0, "space_group": "P-1"}

---

{"formula": "ScTlIn2F6", "functional": "PBE-GGA", "state": "relaxed", "cell": [[-5.5894, 2.0467, -3.5542], [-4.1498, -4.6664, -3.0091], [-5.8628, -1.1149, 1.7619]], "species": ["F", "F", "F", "F", "F", "F", "Sc", "In", "In", "Tl"], "frac_coords": [[0.2036, 0.0073, 0.3209], [0.0051, 0.4732, 0.3157], [0.4284, 0.6253, 0.7822], [0.6270, 0.1595, 0.7871], [0.4681, 0.2039, 0.3196], [0.1639, 0.4283, 0.7838], [0.3161, 0.3162, 0.0516], [0.0792, 0.0771, 0.7640], [0.5537, 0.5548, 0.3390], [0.8164, 0.8161, 0.5514]], "formation_energy_uncorrected_kj_per_mol_atoms": -251.7, "dos_at_fermi_per_ev_cell": 0.00, "magmom_total_mub_per_fu": 0.0, "space_group": "P-1"}